Record 1
Here is a PBEsol-optimized structure of BaInRh from Alexandria. Energies are from SCAN.

Its space group is No. 44. The value obtained for the density of states at the Fermi level is 1.66 states/eV/cell. The value obtained for the energy of formation from the pure elements is -0.269 eV/atom.

Cell lengths 3.409, 3.499, 6.633 Å; angles 105.29, 104.89, 90.00 degrees
Element x y z (fractional)
Ba: 0.013 0.013 0.025
In: 0.293 0.293 0.586
Rh: 0.695 0.695 0.389

***

Record 2
Here is a PBEsol-optimized structure of Nb2P5 from Alexandria. Energies are from SCAN.

Its space group is No. 62. The value obtained for the density of states at the Fermi level is 10.58 states/eV/cell. The value obtained for the energy of formation from the pure elements is -0.604 eV/atom.

Cell lengths 3.311, 7.879, 16.720 Å; angles 90.00, 90.00, 90.00 degrees
Element x y z (fractional)
Nb: 0.250 0.327 0.774
Nb: 0.750 0.673 0.226
Nb: 0.750 0.827 0.726
Nb: 0.250 0.173 0.274
Nb: 0.250 0.335 0.595
Nb: 0.750 0.665 0.405
Nb: 0.750 0.835 0.905
Nb: 0.250 0.165 0.095
P: 0.750 0.150 0.686
P: 0.250 0.850 0.314
P: 0.250 0.650 0.814
P: 0.750 0.350 0.186
P: 0.250 0.007 0.815
P: 0.750 0.993 0.185
P: 0.750 0.507 0.685
P: 0.250 0.493 0.315
P: 0.250 0.460 0.041
P: 0.750 0.540 0.959
P: 0.750 0.960 0.459
P: 0.250 0.040 0.541
P: 0.750 0.184 0.384
P: 0.250 0.816 0.616
P: 0.250 0.684 0.116
P: 0.750 0.316 0.884
P: 0.750 0.120 0.979
P: 0.250 0.880 0.021
P: 0.250 0.620 0.521
P: 0.750 0.380 0.479

***

Record 3
Here is a PBEsol-optimized structure of IrRuPt from Alexandria. Energies are from SCAN.

For the offset from the most stable computed form, the calculation gives 0.14 eV/f.u. Its space group is No. 156. The value obtained for the density of states at the Fermi level is 2.82 states/eV/cell. The value obtained for the energy of formation from the pure elements is -0.003 eV/atom.

Cell lengths 2.709, 2.709, 6.665 Å; angles 90.00, 90.00, 120.00 degrees
Element x y z (fractional)
Ru: 0.667 0.333 0.326
Ir: 0.000 0.000 0.012
Pt: 0.333 0.667 0.663

***

Record 4
Here is a PBEsol-optimized structure of TmNi5 from Alexandria. Energies are from SCAN.

Its space group is No. 191. The value obtained for the density of states at the Fermi level is 3.91 states/eV/cell. The value obtained for the energy of formation from the pure elements is -0.334 eV/atom.

Cell lengths 3.900, 4.760, 4.760 Å; angles 120.00, 90.00, 90.00 degrees
Element x y z (fractional)
Tm: 0.000 0.000 0.000
Ni: 0.000 0.333 0.667
Ni: 0.000 0.667 0.333
Ni: 0.500 0.000 0.500
Ni: 0.500 0.500 0.500
Ni: 0.500 0.500 0.000

***

Record 5
Here is a PBEsol-optimized structure of BaScAu3 from Alexandria. Energies are from SCAN.

Its space group is No. 221. The value obtained for the density of states at the Fermi level is 2.79 states/eV/cell. The value obtained for the energy of formation from the pure elements is -0.606 eV/atom.

Cell lengths 5.155, 5.155, 5.155 Å; angles 90.00, 90.00, 90.00 degrees
Element x y z (fractional)
Sc: 0.000 0.000 0.000
Au: 0.000 0.500 0.000
Au: 0.000 0.000 0.500
Au: 0.500 0.000 0.000
Ba: 0.500 0.500 0.500

***

Record 6
Here is a PBEsol-optimized structure of CuBiP2Os from Alexandria. Energies are from SCAN.

Its space group is No. 123. The value obtained for the density of states at the Fermi level is 3.15 states/eV/cell. The value obtained for the energy of formation from the pure elements is 0.631 eV/atom.

Cell lengths 4.482, 4.482, 4.915 Å; angles 90.00, 90.00, 90.00 degrees
Element x y z (fractional)
P: 0.000 0.500 0.000
P: 0.500 0.000 0.000
Os: 0.000 0.000 0.000
Bi: 0.500 0.500 0.500
Cu: 0.000 0.000 0.500

***

Record 7
Here is a PBEsol-optimized structure of HfSiN2O from Alexandria. Energies are from SCAN.

Its space group is No. 123. Its uncorrected formation energy is -11.29 kJ/mol of atoms. The value obtained for the density of states at the Fermi level is 1.44 states/eV/cell.

Cell lengths 3.990, 4.176, 4.176 Å; angles 90.00, 90.00, 90.00 degrees
Element x y z (fractional)
Si: 0.500 0.500 0.500
Hf: 0.000 0.000 0.000
O: 0.500 0.000 0.000
N: 0.000 0.000 0.500
N: 0.000 0.500 0.000

***

Record 8
Here is a PBEsol-optimized structure of K2MoI4O14 from Alexandria. Energies are from SCAN.

Its space group is No. 15. Its uncorrected formation energy is -99.11 kJ/mol of atoms. The value obtained for the density of states at the Fermi level is 0.00 states/eV/cell.

Cell lengths 6.144, 6.958, 17.465 Å; angles 100.89, 90.00, 116.20 degrees
Element x y z (fractional)
K: 0.188 0.366 0.466
K: 0.822 0.634 0.034
K: 0.812 0.634 0.534
K: 0.178 0.366 0.966
Mo: 0.883 0.000 0.750
Mo: 0.117 0.000 0.250
I: 0.599 0.074 0.593
I: 0.525 0.926 0.907
I: 0.401 0.926 0.407
I: 0.475 0.074 0.093
I: 0.754 0.435 0.320
I: 0.320 0.565 0.180
I: 0.246 0.565 0.680
I: 0.680 0.435 0.820
O: 0.783 0.951 0.641
O: 0.832 0.049 0.859
O: 0.217 0.049 0.359
O: 0.168 0.951 0.141
O: 0.608 0.885 0.502
O: 0.724 0.115 0.998
O: 0.392 0.115 0.498
O: 0.276 0.885 0.002
O: 0.875 0.315 0.582
O: 0.560 0.685 0.918
O: 0.125 0.685 0.418
O: 0.440 0.315 0.082
O: 0.510 0.225 0.243
O: 0.285 0.775 0.257
O: 0.490 0.775 0.757
O: 0.715 0.225 0.743
O: 0.748 0.259 0.387
O: 0.489 0.741 0.113
O: 0.252 0.741 0.613
O: 0.511 0.259 0.887
O: 0.583 0.561 0.373
O: 0.022 0.439 0.127
O: 0.417 0.439 0.627
O: 0.978 0.561 0.873
O: 0.944 0.778 0.742
O: 0.166 0.222 0.758
O: 0.056 0.222 0.258
O: 0.834 0.778 0.242

***

Record 9
Here is a PBEsol-optimized structure of BeBr2O from Alexandria. Energies are from SCAN.

Its space group is No. 166. Its uncorrected formation energy is 7.67 kJ/mol of atoms.

Cell lengths 4.851, 4.851, 6.803 Å; angles 69.11, 69.11, 60.00 degrees
Element x y z (fractional)
Be: 0.000 0.000 0.000
Br: 0.895 0.895 0.314
Br: 0.105 0.105 0.686
O: 0.500 0.500 0.500

***

Record 10
Here is a PBEsol-optimized structure of CoBr from Alexandria. Energies are from SCAN.

For the offset from the most stable computed form, the calculation gives 0.00 eV/f.u. Its space group is No. 129. Its uncorrected formation energy is 8.09 kJ/mol of atoms. The value obtained for the density of states at the Fermi level is 2.54 states/eV/cell.

Cell lengths 3.660, 3.660, 5.990 Å; angles 90.00, 90.00, 90.00 degrees
Element x y z (fractional)
Co: 0.000 0.000 0.000
Co: 0.500 0.500 0.000
Br: 0.500 0.000 0.739
Br: 0.000 0.500 0.261

***

Record 11
Here is a PBEsol-optimized structure of ScCdRe2 from Alexandria. Energies are from SCAN.

Its space group is No. 99. The value obtained for the density of states at the Fermi level is 2.58 states/eV/cell. The value obtained for the energy of formation from the pure elements is -0.069 eV/atom.

Cell lengths 3.040, 3.040, 7.510 Å; angles 90.00, 90.00, 90.00 degrees
Element x y z (fractional)
Cd: 0.500 0.500 0.769
Re: 0.000 0.000 0.034
Re: 0.500 0.500 0.223
Sc: 0.000 0.000 0.475

***

Record 12
Here is a PBEsol-optimized structure of CrSiW from Alexandria. Energies are from SCAN.

Its space group is No. 156. Its uncorrected formation energy is 28.42 kJ/mol of atoms. The value obtained for the density of states at the Fermi level is 2.99 states/eV/cell.

Cell lengths 2.749, 2.749, 6.159 Å; angles 90.00, 90.00, 120.00 degrees
Element x y z (fractional)
Cr: 0.000 0.000 0.987
Si: 0.333 0.667 0.682
W: 0.667 0.333 0.331

***

Record 13
Here is a PBEsol-optimized structure of SrCaTe from Alexandria. Energies are from SCAN.

Its space group is No. 216. Its uncorrected formation energy is -82.88 kJ/mol of atoms. The value obtained for the density of states at the Fermi level is 1.70 states/eV/cell.

Cell lengths 5.323, 5.323, 5.323 Å; angles 60.00, 60.00, 60.00 degrees
Element x y z (fractional)
Sr: 0.500 0.500 0.500
Ca: 0.000 0.000 0.000
Te: 0.750 0.750 0.750

***

Record 14
Here is a PBEsol-optimized structure of HfBeCuTe2 from Alexandria. Energies are from SCAN.

Its space group is No. 123. Its uncorrected formation energy is 38.06 kJ/mol of atoms. The value obtained for the density of states at the Fermi level is 2.88 states/eV/cell.

Cell lengths 3.951, 4.972, 4.972 Å; angles 90.00, 90.00, 90.00 degrees
Element x y z (fractional)
Be: 0.000 0.000 0.000
Te: 0.000 0.000 0.500
Te: 0.000 0.500 0.000
Hf: 0.500 0.500 0.500
Cu: 0.500 0.000 0.000

***

Record 15
Here is a PBEsol-optimized structure of Si2PtW from Alexandria. Energies are from SCAN.

For the offset from the most stable computed form, the calculation gives 0.00 eV/f.u. Its space group is No. 8. Its uncorrected formation energy is -25.29 kJ/mol of atoms. The value obtained for the density of states at the Fermi level is 1.90 states/eV/cell.

Cell lengths 2.950, 4.322, 4.792 Å; angles 105.89, 107.93, 90.00 degrees
Element x y z (fractional)
Pt: 0.256 0.821 0.512
Si: 0.006 0.943 0.012
Si: 0.748 0.311 0.495
W: 0.490 0.425 0.981

***

Record 16
Here is a PBEsol-optimized structure of BeAl2 from Alexandria. Energies are from SCAN.

Its space group is No. 8. The value obtained for the density of states at the Fermi level is 1.92 states/eV/cell. The value obtained for the energy of formation from the pure elements is 0.178 eV/atom.

Cell lengths 2.694, 4.771, 6.913 Å; angles 100.82, 90.00, 106.40 degrees
Element x y z (fractional)
Be: 0.101 0.202 0.682
Be: 0.741 0.482 0.898
Al: 0.024 0.048 0.011
Al: 0.612 0.223 0.388
Al: 0.368 0.736 0.643
Al: 0.321 0.642 0.211

***

Record 17
Here is a PBEsol-optimized structure of RbY2TiBi from Alexandria. Energies are from SCAN.

Its space group is No. 123. The value obtained for the density of states at the Fermi level is 4.52 states/eV/cell. The value obtained for the energy of formation from the pure elements is 1.471 eV/atom.

Cell lengths 5.234, 5.234, 5.887 Å; angles 90.00, 90.00, 90.00 degrees
Element x y z (fractional)
Y: 0.000 0.500 0.000
Y: 0.500 0.000 0.000
Bi: 0.000 0.000 0.500
Rb: 0.000 0.000 0.000
Ti: 0.500 0.500 0.500

***

Record 18
Here is a PBEsol-optimized structure of YSi2Os from Alexandria. Energies are from SCAN.

Its space group is No. 166. Its uncorrected formation energy is -71.56 kJ/mol of atoms. The value obtained for the density of states at the Fermi level is 2.38 states/eV/cell.

Cell lengths 4.070, 4.070, 5.329 Å; angles 67.55, 67.55, 60.00 degrees
Element x y z (fractional)
Y: 0.500 0.500 0.500
Si: 0.712 0.712 0.864
Si: 0.288 0.288 0.136
Os: 0.000 0.000 0.000

***

Record 19
Here is a PBEsol-optimized structure of HgTe3 from Alexandria. Energies are from SCAN.

Its space group is No. 223. Its uncorrected formation energy is 48.06 kJ/mol of atoms. The value obtained for the density of states at the Fermi level is 8.87 states/eV/cell.

Cell lengths 6.015, 6.015, 6.015 Å; angles 90.00, 90.00, 90.00 degrees
Element x y z (fractional)
Hg: 0.000 0.000 0.000
Hg: 0.500 0.500 0.500
Te: 0.750 0.500 0.000
Te: 0.250 0.500 0.000
Te: 0.000 0.750 0.500
Te: 0.000 0.250 0.500
Te: 0.500 0.000 0.250
Te: 0.500 0.000 0.750

***

Record 20
Here is a PBEsol-optimized structure of NaMnCo3 from Alexandria. Energies are from SCAN.

Its space group is No. 221. The value obtained for the density of states at the Fermi level is 4.68 states/eV/cell. The value obtained for the energy of formation from the pure elements is 1.177 eV/atom.

Cell lengths 4.184, 4.184, 4.184 Å; angles 90.00, 90.00, 90.00 degrees
Element x y z (fractional)
Na: 0.500 0.500 0.500
Mn: 0.000 0.000 0.000
Co: 0.000 0.500 0.000
Co: 0.000 0.000 0.500
Co: 0.500 0.000 0.000

***

Record 21
Here is a PBEsol-optimized structure of Sn3ICl from Alexandria. Energies are from SCAN.

Its space group is No. 221. Its uncorrected formation energy is 79.80 kJ/mol of atoms. The value obtained for the density of states at the Fermi level is 4.53 states/eV/cell.

Cell lengths 5.825, 5.825, 5.825 Å; angles 90.00, 90.00, 90.00 degrees
Element x y z (fractional)
I: 0.000 0.000 0.000
Sn: 0.000 0.500 0.000
Sn: 0.000 0.000 0.500
Sn: 0.500 0.000 0.000
Cl: 0.500 0.500 0.500

***

Record 22
Here is a PBEsol-optimized structure of Cu4Bi5PbS11 from Alexandria. Energies are from SCAN.

Its space group is No. 12. Its uncorrected formation energy is -26.85 kJ/mol of atoms. The value obtained for the density of states at the Fermi level is 14.79 states/eV/cell.

Cell lengths 3.861, 8.852, 26.957 Å; angles 92.61, 90.00, 102.60 degrees
Element x y z (fractional)
Cu: 0.614 0.228 0.425
Cu: 0.698 0.396 0.782
Cu: 0.302 0.604 0.218
Cu: 0.204 0.409 0.024
Cu: 0.507 0.013 0.771
Cu: 0.493 0.987 0.229
Cu: 0.796 0.591 0.976
Cu: 0.386 0.772 0.575
Bi: 0.685 0.370 0.554
Bi: 0.048 0.096 0.657
Bi: 0.823 0.646 0.706
Bi: 0.620 0.240 0.146
Bi: 0.177 0.354 0.294
Bi: 0.380 0.760 0.854
Bi: 0.865 0.731 0.100
Bi: 0.952 0.904 0.343
Bi: 0.315 0.630 0.446
Bi: 0.135 0.269 0.900
Pb: 0.500 0.000 0.000
Pb: 0.000 0.000 0.500
S: 0.155 0.311 0.466
S: 0.012 0.024 0.080
S: 0.062 0.124 0.227
S: 0.733 0.466 0.220
S: 0.402 0.804 0.657
S: 0.470 0.939 0.425
S: 0.598 0.196 0.343
S: 0.267 0.534 0.780
S: 0.209 0.418 0.107
S: 0.988 0.976 0.920
S: 0.340 0.679 0.014
S: 0.401 0.802 0.166
S: 0.791 0.582 0.893
S: 0.599 0.198 0.834
S: 0.395 0.789 0.284
S: 0.938 0.876 0.773
S: 0.660 0.321 0.986
S: 0.197 0.394 0.624
S: 0.530 0.061 0.575
S: 0.803 0.606 0.376
S: 0.605 0.211 0.716
S: 0.845 0.689 0.534

***

Record 23
Here is a PBEsol-optimized structure of ZrBe3Tc from Alexandria. Energies are from SCAN.

Its space group is No. 221. The value obtained for the density of states at the Fermi level is 4.51 states/eV/cell. The value obtained for the energy of formation from the pure elements is 1.973 eV/atom.

Cell lengths 4.267, 4.267, 4.267 Å; angles 90.00, 90.00, 90.00 degrees
Element x y z (fractional)
Be: 0.000 0.500 0.000
Be: 0.000 0.000 0.500
Be: 0.500 0.000 0.000
Tc: 0.500 0.500 0.500
Zr: 0.000 0.000 0.000